Entry 1:
This record from Alexandria via LeMat-Bulk describes a relaxed BeTcOs2 crystal. The functional is PBE.

E_tot = -9.1151 eV/atom
Fermi-level density of states = 3.3 states/eV/f.u.

Unit cell a=4.9203 b=4.9203 c=4.2987 alpha=64.09 beta=64.09 gamma=33.76
Sites, in units of the cell vectors:
Tc (0.5251, 0.5251, 0.4748)
Os (0.9737, 0.9737, 0.0260)
Os (0.7487, 0.7487, 0.7514)
Be (0.2526, 0.2526, 0.2478)

Entry 2:
This record from Alexandria via LeMat-Bulk describes a relaxed Pr3Sb2Pt7 crystal. The functional is PBE.

Fermi-level density of states = 6.9 states/eV/f.u.
Energy relative to the elements, uncorrected = -877.6 kJ/mol of formula units

Unit cell a=4.2245 b=4.2245 c=14.8411 alpha=98.18 beta=98.18 gamma=90.00
Sites, in units of the cell vectors:
Sb (0.1282, 0.1282, 0.2565)
Sb (0.8718, 0.8718, 0.7435)
Pt (0.7795, 0.7795, 0.5590)
Pt (0.5743, 0.0743, 0.1485)
Pt (0.0000, 0.0000, 0.0000)
Pt (0.2205, 0.2205, 0.4410)
Pt (0.9257, 0.4257, 0.8515)
Pt (0.0743, 0.5743, 0.1485)
Pt (0.4257, 0.9257, 0.8515)
Pr (0.6783, 0.6783, 0.3565)
Pr (0.3217, 0.3217, 0.6435)
Pr (0.5000, 0.5000, 0.0000)